## BaAgF5 (PBE)

Data for an optimized crystal structure of BaAgF5.

Summary:
- DFT total energy (eV per atom) = -4.256
- E_form (uncorrected) (meV/atom) = -2237.7

Cell lengths 8.915, 5.496, 10.163 Å; angles 90.00, 113.40, 90.00 degrees
Space group C2/c (No. 15)
One atom of each set of equivalent atoms:
Ba 0.000 0.028 0.250 [4 per cell]
Ag 0.000 0.500 0.000 [4 per cell]
F 0.000 0.463 0.750 [4 per cell]
F 0.120 0.188 0.546 [8 per cell]
F 0.197 0.314 0.121 [8 per cell]